Below is a relaxed structure of TbSiHO4, with properties calculated at the PBE level.

As for the energy above the most stable polymorph in this dataset: 20.1 meV per atom. The space group is P2_1/c, No. 14. The density is 5.5 g cm⁻³. As for the total energy: -208.680 eV per cell.

a b c (Å): 7.1036 6.2622 6.8997
angles (deg): 90.00 98.73 90.00
Fractional positions:
Tb  0.2237  0.1371  0.4928
Tb  0.2237  0.3629  0.9928
Tb  0.7763  0.6371  0.0072
Tb  0.7763  0.8629  0.5072
Si  0.2489  0.6236  0.4832
Si  0.2489  0.8764  0.9832
Si  0.7511  0.1236  0.0168
Si  0.7511  0.3764  0.5168
H  0.3952  0.6287  0.8331
H  0.3952  0.8713  0.3331
H  0.6048  0.1287  0.6669
H  0.6048  0.3713  0.1669
O  0.0753  0.7077  0.9752
O  0.0753  0.7923  0.4752
O  0.2371  0.0541  0.8110
O  0.2371  0.4459  0.3110
O  0.2869  0.0184  0.1837
O  0.2869  0.4816  0.6837
O  0.4328  0.7056  0.9675
O  0.4328  0.7944  0.4675
O  0.5672  0.2056  0.5325
O  0.5672  0.2944  0.0325
O  0.7131  0.5184  0.3163
O  0.7131  0.9816  0.8163
O  0.7629  0.5541  0.6890
O  0.7629  0.9459  0.1890
O  0.9247  0.2077  0.5248
O  0.9247  0.2923  0.0248